[1]
! Rb2HgBiN | Alexandria | PBE-GGA | relaxed; values from VASP
&SYSTEM
  ibrav = 0, nat = 5, ntyp = 4
/
ATOMIC_SPECIES
Rb 85.47 Rb.upf
Hg 200.59 Hg.upf
Bi 208.98 Bi.upf
N 14.01 N.upf
ATOMIC_POSITIONS crystal
Rb 0.000 0.500 0.000
Rb 0.500 0.000 0.000
Hg 0.000 0.000 0.000
Bi 0.000 0.000 0.500
N 0.500 0.500 0.500
CELL_PARAMETERS angstrom
7.059 0.000 0.000
0.000 7.059 0.000
0.000 0.000 5.617
! formation energy without anion corrections = 801.9 meV per atom
! SG = P4/mmm (123)
! E = -10.434 eV/cell
! N(E_F) = 3.64 states/eV per cell

***

[2]
! HgBiS2N | Alexandria | PBE-GGA | relaxed; values from VASP
&SYSTEM
  ibrav = 0, nat = 5, ntyp = 4
/
ATOMIC_SPECIES
Hg 200.59 Hg.upf
Bi 208.98 Bi.upf
S 32.06 S.upf
N 14.01 N.upf
ATOMIC_POSITIONS crystal
Hg 0.000 0.000 0.000
Bi 0.500 0.500 0.500
S 0.000 0.500 0.000
S 0.500 0.000 0.000
N 0.000 0.000 0.500
CELL_PARAMETERS angstrom
5.163 0.000 0.000
0.000 5.163 0.000
0.000 0.000 4.125
! formation energy without anion corrections = 1068.3 meV per atom
! ΔE to the lowest computed polymorph = 50 meV per atom
! SG = P4/mmm (123)
! E = -15.422 eV/cell
! N(E_F) = 3.15 states/eV per cell

***

[3]
! HgBiS2N | Alexandria | PBE-GGA | relaxed; values from VASP
&SYSTEM
  ibrav = 0, nat = 5, ntyp = 4
/
ATOMIC_SPECIES
Hg 200.59 Hg.upf
Bi 208.98 Bi.upf
S 32.06 S.upf
N 14.01 N.upf
ATOMIC_POSITIONS crystal
Hg 0.000 0.000 0.000
Bi 0.500 0.500 0.500
S 0.000 0.500 0.500
S 0.500 0.000 0.500
N 0.500 0.500 0.000
CELL_PARAMETERS angstrom
5.325 0.000 0.000
0.000 5.325 0.000
0.000 0.000 4.399
! formation energy without anion corrections = 1018.0 meV per atom
! ΔE to the lowest computed polymorph = 0 meV per atom
! SG = P4/mmm (123)
! E = -15.673 eV/cell
! N(E_F) = 3.53 states/eV per cell

***

[4]
! HgBiSN2 | Alexandria | PBE-GGA | relaxed; values from VASP
&SYSTEM
  ibrav = 0, nat = 5, ntyp = 4
/
ATOMIC_SPECIES
Hg 200.59 Hg.upf
Bi 208.98 Bi.upf
S 32.06 S.upf
N 14.01 N.upf
ATOMIC_POSITIONS crystal
Hg 0.000 0.000 0.000
Bi 0.500 0.500 0.500
S 0.500 0.500 0.000
N 0.000 0.500 0.500
N 0.500 0.000 0.500
CELL_PARAMETERS angstrom
4.300 0.000 0.000
0.000 4.300 0.000
0.000 0.000 5.755
! formation energy without anion corrections = 1516.0 meV per atom
! ΔE to the lowest computed polymorph = 0 meV per atom
! SG = P4/mmm (123)
! E = -17.381 eV/cell
! N(E_F) = 3.72 states/eV per cell

***

[5]
! HgBiSN2 | Alexandria | PBE-GGA | relaxed; values from VASP
&SYSTEM
  ibrav = 0, nat = 5, ntyp = 4
/
ATOMIC_SPECIES
Hg 200.59 Hg.upf
Bi 208.98 Bi.upf
S 32.06 S.upf
N 14.01 N.upf
ATOMIC_POSITIONS crystal
Hg 0.000 0.000 0.000
Bi 0.500 0.500 0.500
S 0.000 0.000 0.500
N 0.000 0.500 0.000
N 0.500 0.000 0.000
CELL_PARAMETERS angstrom
4.312 0.000 0.000
0.000 4.312 0.000
0.000 0.000 5.128
! formation energy without anion corrections = 1702.6 meV per atom
! ΔE to the lowest computed polymorph = 187 meV per atom
! SG = P4/mmm (123)
! E = -16.448 eV/cell
! N(E_F) = 4.16 states/eV per cell

***

[6]
! Hg2BiSeN | Alexandria | PBE-GGA | relaxed; values from VASP
&SYSTEM
  ibrav = 0, nat = 5, ntyp = 4
/
ATOMIC_SPECIES
Hg 200.59 Hg.upf
Bi 208.98 Bi.upf
Se 78.96 Se.upf
N 14.01 N.upf
ATOMIC_POSITIONS crystal
Hg 0.000 0.500 0.000
Hg 0.500 0.000 0.000
Bi 0.000 0.000 0.500
Se 0.500 0.500 0.500
N 0.500 0.500 0.000
CELL_PARAMETERS angstrom
4.554 0.000 0.000
0.000 4.554 0.000
0.000 0.000 5.469
! formation energy without anion corrections = 741.5 meV per atom
! SG = P4/mmm (123)
! E = -12.587 eV/cell
! N(E_F) = 1.84 states/eV per cell